Record 1
{
  "formula": "Li2HfIr2",
  "functional": "SCAN",
  "state": "PBEsol geometry",
  "lattice_angstrom": [[-2.637, 1.658, 0.845], [-1.537, -1.114, -2.611], [-0.217, -5.840, 4.616]],
  "species": ["Ir", "Ir", "Hf", "Li", "Li"],
  "fractional_positions": [[0.395, 0.395, 0.790], [0.605, 0.605, 0.210], [0.000, 0.000, 0.000], [0.250, 0.750, 0.500], [0.750, 0.250, 0.500]],
  "e_form_kj_per_mol_atoms": -38,
  "sg": "I4/mmm"
}

---

Record 2
{
  "formula": "Li2HfPIr",
  "functional": "SCAN",
  "state": "PBEsol geometry",
  "lattice_angstrom": [[4.296, 0.000, 0.000], [0.000, 4.296, 0.000], [0.000, 0.000, 4.395]],
  "species": ["P", "Ir", "Hf", "Li", "Li"],
  "fractional_positions": [[0.000, 0.000, 0.500], [0.000, 0.000, 0.000], [0.500, 0.500, 0.500], [0.000, 0.500, 0.000], [0.500, 0.000, 0.000]],
  "e_form_kj_per_mol_atoms": 16,
  "sg": "P4/mmm"
}

---

Record 3
{
  "formula": "Hf2MgIr2",
  "functional": "SCAN",
  "state": "PBEsol geometry",
  "lattice_angstrom": [[-1.576, 1.660, -2.085], [5.057, -2.011, -5.422], [-4.261, -6.165, -1.688]],
  "species": ["Mg", "Mg", "Ir", "Ir", "Ir", "Ir", "Hf", "Hf", "Hf", "Hf"],
  "fractional_positions": [[0.000, 0.000, 0.000], [0.000, 0.500, 0.500], [0.000, 0.359, 0.859], [0.000, 0.859, 0.641], [0.000, 0.641, 0.141], [0.000, 0.141, 0.359], [0.500, 0.154, 0.654], [0.500, 0.654, 0.846], [0.500, 0.846, 0.346], [0.500, 0.346, 0.154]],
  "e_form_kj_per_mol_atoms": -89,
  "sg": "P4/mbm"
}

---

Record 4
{
  "formula": "HfMn2Ir",
  "functional": "SCAN",
  "state": "PBEsol geometry",
  "lattice_angstrom": [[-2.862, -2.020, -2.488], [1.264, -1.836, -3.674], [0.093, -4.282, -0.341]],
  "species": ["Ir", "Hf", "Mn", "Mn"],
  "fractional_positions": [[0.500, 0.500, 0.500], [0.000, 0.000, 0.000], [0.250, 0.250, 0.250], [0.750, 0.750, 0.750]],
  "e_form_kj_per_mol_atoms": -36,
  "sg": "Fm-3m"
}

---

Record 5
{
  "formula": "HfMnIrPd2",
  "functional": "SCAN",
  "state": "PBEsol geometry",
  "lattice_angstrom": [[4.409, 0.000, 0.000], [0.000, 4.486, 0.000], [0.000, 0.000, 4.486]],
  "species": ["Mn", "Ir", "Hf", "Pd", "Pd"],
  "fractional_positions": [[0.000, 0.000, 0.000], [0.500, 0.000, 0.000], [0.500, 0.500, 0.500], [0.000, 0.000, 0.500], [0.000, 0.500, 0.000]],
  "e_form_kj_per_mol_atoms": 49,
  "sg": "P4/mmm"
}

---

Record 6
{
  "formula": "Hf2MoIr",
  "functional": "SCAN",
  "state": "PBEsol geometry",
  "lattice_angstrom": [[4.579, 0.000, 0.000], [2.290, 3.966, 0.000], [2.290, 1.322, 3.739]],
  "species": ["Mo", "Ir", "Hf", "Hf"],
  "fractional_positions": [[0.000, 0.000, 0.000], [0.500, 0.500, 0.500], [0.250, 0.250, 0.250], [0.750, 0.750, 0.750]],
  "e_form_kj_per_mol_atoms": -74,
  "sg": "Fm-3m"
}

---

Record 7
{
  "formula": "HfMoIr3",
  "functional": "SCAN",
  "state": "PBEsol geometry",
  "lattice_angstrom": [[-4.300, -1.773, 0.588], [1.111, -1.240, 4.383], [-1.502, 4.159, 1.557]],
  "species": ["Mo", "Ir", "Ir", "Ir", "Hf"],
  "fractional_positions": [[0.500, 0.500, 0.500], [0.000, 0.500, 0.000], [0.000, 0.000, 0.500], [0.500, 0.000, 0.000], [0.000, 0.000, 0.000]],
  "e_form_kj_per_mol_atoms": 170,
  "sg": "Pm-3m"
}

---

Record 8
{
  "formula": "HfZnMoIr2",
  "functional": "SCAN",
  "state": "PBEsol geometry",
  "lattice_angstrom": [[-2.453, -3.862, -1.149], [-0.876, -0.802, 4.565], [-3.978, 2.618, -0.303]],
  "species": ["Mo", "Ir", "Ir", "Hf", "Zn"],
  "fractional_positions": [[0.500, 0.500, 0.500], [0.000, 0.500, 0.000], [0.500, 0.000, 0.000], [0.000, 0.000, 0.000], [0.000, 0.000, 0.500]],
  "e_form_kj_per_mol_atoms": 152,
  "sg": "P4/mmm"
}

---

Record 9
{
  "formula": "HfIr3N",
  "functional": "SCAN",
  "state": "PBEsol geometry",
  "lattice_angstrom": [[4.805, 0.000, 0.000], [0.000, 4.805, 0.000], [0.000, 0.000, 4.805]],
  "species": ["Ir", "Ir", "Ir", "Hf", "N"],
  "fractional_positions": [[0.000, 0.500, 0.000], [0.000, 0.000, 0.500], [0.500, 0.000, 0.000], [0.000, 0.000, 0.000], [0.500, 0.500, 0.500]],
  "sg": "Pm-3m",
  "formation_energy_uncorrected_ev_per_atom": 2.830
}

---

Record 10
{
  "formula": "Hf3IrN",
  "functional": "SCAN",
  "state": "PBEsol geometry",
  "lattice_angstrom": [[6.113, 0.000, 0.000], [0.000, 6.140, 0.000], [0.000, 0.000, 8.598]],
  "species": ["Ir", "Ir", "Ir", "Ir", "Hf", "Hf", "Hf", "Hf", "Hf", "Hf", "Hf", "Hf", "Hf", "Hf", "Hf", "Hf", "N", "N", "N", "N"],
  "fractional_positions": [[0.488, 0.538, 0.250], [0.988, 0.962, 0.750], [0.512, 0.462, 0.750], [0.012, 0.038, 0.250], [0.783, 0.216, 0.953], [0.283, 0.284, 0.453], [0.283, 0.284, 0.047], [0.217, 0.784, 0.453], [0.217, 0.784, 0.047], [0.717, 0.716, 0.547], [0.717, 0.716, 0.953], [0.783, 0.216, 0.547], [0.914, 0.483, 0.250], [0.414, 0.017, 0.750], [0.086, 0.517, 0.750], [0.586, 0.983, 0.250], [0.500, 0.000, 0.000], [0.000, 0.500, 0.500], [0.000, 0.500, 0.000], [0.500, 0.000, 0.500]],
  "sg": "Pnma",
  "formation_energy_uncorrected_ev_per_atom": -1.411
}

---

Record 11
{
  "formula": "HfIrN2O",
  "functional": "SCAN",
  "state": "PBEsol geometry",
  "lattice_angstrom": [[-1.602, 1.869, 3.013], [-0.992, -3.626, 1.722], [3.635, -0.059, 1.970]],
  "species": ["Ir", "Hf", "O", "N", "N"],
  "fractional_positions": [[0.500, 0.500, 0.500], [0.000, 0.000, 0.000], [0.500, 0.000, 0.000], [0.000, 0.000, 0.500], [0.000, 0.500, 0.000]],
  "sg": "P4/mmm",
  "formation_energy_uncorrected_ev_per_atom": 0.496
}

---

Record 12
{
  "formula": "HfPIr2N",
  "functional": "SCAN",
  "state": "PBEsol geometry",
  "lattice_angstrom": [[3.917, 0.000, 0.000], [0.000, 4.886, 0.000], [0.000, 0.000, 4.886]],
  "species": ["P", "Ir", "Ir", "Hf", "N"],
  "fractional_positions": [[0.500, 0.500, 0.500], [0.000, 0.000, 0.500], [0.000, 0.500, 0.000], [0.000, 0.000, 0.000], [0.500, 0.000, 0.000]],
  "sg": "P4/mmm",
  "formation_energy_uncorrected_ev_per_atom": 1.571
}